Entry 1:
TiMnVS2 | PBE | optimized geometry

Structure (POSCAR):
```
TiMnVS2
1.0
4.488 0.000 0.000
0.000 4.488 0.000
0.000 0.000 4.382
Ti Mn V S
1 1 1 2
Cartesian
0.000 0.000 0.000
2.244 2.244 0.000
0.000 0.000 2.191
0.000 2.244 2.191
2.244 0.000 2.191
```

Properties
total magnetization: 0.32 μB per cell
ΔE_f (raw): 781 meV/atom

Entry 2:
Zr2TiMnS6 | PBE | optimized geometry

Structure (POSCAR):
```
Zr2TiMnS6
1.0
3.138 1.812 5.871
-3.138 1.812 5.871
0.000 -3.624 5.871
Zr Ti Mn S
2 1 1 6
Cartesian
0.000 0.000 0.000
0.000 0.000 8.756
0.000 0.000 14.505
0.000 0.000 5.631
-2.048 -0.094 7.206
-1.129 -1.864 10.125
1.105 -1.727 7.206
-1.049 1.909 10.125
0.943 1.820 7.206
2.178 -0.046 10.125
```

Properties
total magnetization: 3.38 μB per cell
ΔE_f (raw): -1253 meV/atom

Entry 3:
MnTlS2 | PBE | optimized geometry

Structure (POSCAR):
```
MnTlS2
1.0
3.376 0.000 0.000
-1.688 2.924 0.000
0.000 0.000 8.543
Mn Tl S
1 1 2
Cartesian
0.000 0.000 0.000
0.000 1.949 4.196
0.000 1.949 7.255
1.688 0.975 1.306
```

Properties
total magnetization: 2.67 μB per cell
ΔE_f (raw): -464 meV/atom

Entry 4:
MnTlS4 | PBE | optimized geometry

Structure (POSCAR):
```
MnTlS4
1.0
6.881 -3.382 0.000
6.881 3.382 0.000
-1.280 0.000 6.547
Mn Tl S
2 2 8
Cartesian
0.534 0.000 1.207
11.949 0.000 5.340
2.847 0.000 5.328
9.636 0.000 1.219
5.257 2.024 3.392
2.662 0.000 1.424
6.881 1.670 0.000
7.226 2.024 3.155
5.257 -2.024 3.392
6.881 -1.670 0.000
9.821 0.000 5.123
7.226 -2.024 3.155
```

Properties
total magnetization: 3.92 μB per cell
energy relative to the lowest polymorph listed for this composition: 42 meV per atom
ΔE_f (raw): -228 meV/atom